(1)
Here is Pr2LuGa after structural relaxation from Alexandria. Energies are from GGA-PBE.

Properties
Crystal system = tetragonal

Cell lengths 4.8186, 4.8186, 4.8457 Å; angles 90.00, 90.00, 90.00 degrees
Fractional positions:
Pr  0.0000  0.5000  0.0000
Pr  0.5000  0.0000  0.0000
Lu  0.0000  0.0000  0.5000
Ga  0.5000  0.5000  0.5000



(2)
Here is Pr2LuGa after structural relaxation from Alexandria. Energies are from GGA-PBE.

Properties
Crystal system = trigonal

Cell lengths 12.1134, 12.1134, 12.1134 Å; angles 16.76, 16.76, 16.76 degrees
Fractional positions:
Pr  0.0866  0.0866  0.0866
Pr  0.9134  0.9134  0.9134
Lu  0.5000  0.5000  0.5000
Ga  0.0000  0.0000  0.0000



| no. | energy of formation from the pure elements (eV per atom) |
| --- | --- |
| 1 | -0.22 |
| 2 | 0.15 |